Crystalline Be2InAg at its relaxed geometry, computed with PBE-GGA.

a b c (Å): 2.8988 5.2150 8.3608
angles (deg): 90.00 90.00 90.00
Closest atoms and distances in Å follow each position.
Space group Cmmm (No. 65)
Symmetry-distinct sites (fractional):
Be1 0.0000 0.0000 0.2347 x4  2 Ag 2.44, 2 In 2.65
In1 0.0000 0.5000 0.5000 x2  4 Be 2.65, 2 In 2.90
Ag1 0.0000 0.5000 0.0000 x2  4 Be 2.44

Properties
Its crystal system is orthorhombic. The value obtained for the energy relative to the elements is 0.558 eV/atom.



Crystalline Be2InAg at its relaxed geometry, computed with PBE-GGA.

a b c (Å): 2.9559 2.9559 24.4431
angles (deg): 90.00 90.00 120.00
Closest atoms and distances in Å follow each position.
Space group R-3m (No. 166, hexagonal axes)
Symmetry-distinct sites (fractional):
Be1 0.0000 0.0000 0.2440 x6  3 Ag 2.55, 3 In 2.77
In1 0.0000 0.0000 0.0000 x3  6 Be 2.77, 6 In 2.96
Ag1 0.0000 0.0000 0.5000 x3  6 Be 2.55

Properties
Its crystal system is trigonal. The value obtained for the energy relative to the elements is 0.479 eV/atom.



Crystalline Be2InAg at its relaxed geometry, computed with PBE-GGA.

a b c (Å): 7.2260 4.1356 4.5396
angles (deg): 90.00 106.44 90.00
Closest atoms and distances in Å follow each position.
Space group C2/m (No. 12)
Symmetry-distinct sites (fractional):
Be1 0.1849 0.0000 0.0656 x4  3 Ag 2.38-2.43, 3 Be 2.42-2.57, 1 In 2.54
In1 0.0000 0.0000 0.5000 x2  4 Be 2.54-2.68
Ag1 0.0000 0.5000 0.0000 x2  6 Be 2.38-2.43

Properties
Its crystal system is monoclinic. The value obtained for the energy relative to the elements is 0.324 eV/atom.



Crystalline Be2InAg at its relaxed geometry, computed with PBE-GGA.

a b c (Å): 4.0809 4.0809 7.0242
angles (deg): 90.00 90.00 90.00
Closest atoms and distances in Å follow each position.
Space group I4/mmm (No. 139)
Symmetry-distinct sites (fractional):
Be1 0.0000 0.5000 0.2500 x4  4 In 2.69, 4 Ag 2.69, 4 Be 2.89
In1 0.0000 0.0000 0.0000 x2  8 Be 2.69, 4 Ag 2.89
Ag1 0.0000 0.0000 0.5000 x2  8 Be 2.69, 4 In 2.89

Properties
Its crystal system is tetragonal. The value obtained for the energy relative to the elements is 0.434 eV/atom.



Crystalline Be2InAg at its relaxed geometry, computed with PBE-GGA.

a b c (Å): 7.0093 7.0093 5.4342
angles (deg): 90.00 90.00 90.00
Closest atoms and distances in Å follow each position.
Space group I-42d (No. 122)
Symmetry-distinct sites (fractional):
Be1 0.2239 0.7500 0.1250 x8  2 Ag 2.45, 2 In 2.70, 2 Be 2.74
In1 0.0000 0.0000 0.5000 x4  4 Be 2.70, 2 Ag 2.72
Ag1 0.0000 0.0000 0.0000 x4  4 Be 2.45, 2 In 2.72

Properties
Its crystal system is tetragonal. The value obtained for the energy relative to the elements is 0.701 eV/atom.



Crystalline Be2InAg at its relaxed geometry, computed with PBE-GGA.

a b c (Å): 3.2403 3.2403 5.6147
angles (deg): 90.00 90.00 90.00
Closest atoms and distances in Å follow each position.
Space group P4/mmm (No. 123)
Symmetry-distinct sites (fractional):
Be1 0.0000 0.0000 0.2169 x2  1 Be 2.44, 4 Ag 2.59
In1 0.5000 0.5000 0.5000 x1  8 Be 2.79, 2 Ag 2.81
Ag1 0.5000 0.5000 0.0000 x1  8 Be 2.59, 2 In 2.81

Properties
Its crystal system is tetragonal. The value obtained for the energy relative to the elements is 0.381 eV/atom.



Crystalline Be2InAg at its relaxed geometry, computed with PBE-GGA.

a b c (Å): 5.5096 8.4879 3.0804
angles (deg): 90.00 117.95 90.00
Closest atoms and distances in Å follow each position.
Space group C2/m (No. 12)
Symmetry-distinct sites (fractional):
Be1 0.2500 0.2500 0.0000 x4  2 In 2.53, 2 Ag 2.53, 2 Be 2.75
In1 0.0000 0.0000 0.0000 x2  4 Be 2.53, 2 Ag 2.75
Ag1 0.0000 0.5000 0.0000 x2  4 Be 2.53, 2 In 2.75

Properties
Its crystal system is monoclinic. The value obtained for the energy relative to the elements is 0.477 eV/atom.



Crystalline BeIn3Ag at its relaxed geometry, computed with PBE-GGA.

a b c (Å): 4.9220 4.9220 4.9220
angles (deg): 90.00 90.00 90.00
Closest atoms and distances in Å follow each position.
Space group Pm-3m (No. 221)
Symmetry-distinct sites (fractional):
Be1 0.0000 0.0000 0.0000 x1  6 In 2.46
In1 0.0000 0.0000 0.5000 x3  2 Be 2.46
Ag1 0.5000 0.5000 0.5000 x1  12 In 3.48

Properties
Its crystal system is cubic. The value obtained for the energy relative to the elements is 0.351 eV/atom.